# 1
The following is a DFT calculation (PBE) of a relaxed YErGe crystal.

Lattice parameters (Å, degrees): 6.877 6.877 6.877 90.00 90.00 90.00
Space group F-43m (No. 216)
Symmetry-distinct sites (fractional):
Y: 0.000 0.000 0.000 x4
Er: 0.000 0.000 0.500 x4
Ge: 0.250 0.250 0.750 x4

Results
Magnetic moment = 0.0 μB per cell
E above lowest polymorph = 0 meV/atom



# 2
The following is a DFT calculation (PBE) of a relaxed YErGe2 crystal.

Lattice parameters (Å, degrees): 3.946 4.282 10.710 90.00 90.00 90.00
Space group Amm2 (No. 38)
Symmetry-distinct sites (fractional):
Y: 0.000 0.000 0.000 x2
Er: 0.500 0.000 0.277 x2
Ge: 0.000 0.000 0.725 x2
Ge: 0.500 0.000 0.553 x2

Results
Magnetic moment = 0.0 μB per cell
Energy = -0.43677 Ry per atom



# 3
The following is a DFT calculation (PBE) of a relaxed YErZn2Ge2 crystal.

Lattice parameters (Å, degrees): 4.2338 4.2338 15.5571 90.00 90.00 120.00
Space group P6_3/mmc (No. 194)
Symmetry-distinct sites (fractional):
Y: 0.0000 0.0000 0.0000 x2
Er: 0.0000 0.0000 0.2500 x2
Zn: 0.3333 0.6667 0.1481 x4
Ge: 0.3333 0.6667 0.6136 x4

Results
Magnetic moment = 0.0 μB per cell
E above lowest polymorph = 0 meV/atom